Compound: PmTm2Co9
Source: Alexandria
Functional: PBE-GGA
Structure: relaxed

Cell and atoms, written as POSCAR:
```
PmTm2Co9
1.0
-3.070 -3.860 0.795
1.611 -4.669 -0.753
1.979 -3.226 7.668
Co Pm Tm
9 1 2
Cartesian
-0.114 -4.340 1.921
-0.183 -5.049 6.171
1.477 -6.067 7.635
0.634 -7.416 5.789
-1.671 -6.297 2.325
-0.957 -5.688 0.075
2.191 -5.458 5.386
0.260 -5.878 3.855
0.703 -6.707 1.540
0.000 0.000 0.000
-0.420 -8.691 3.268
0.940 -3.065 4.443
```

Properties
Formation energy: -181 meV per atom
Density of states at the Fermi level: 1.394 states/eV per atom


Compound: AcPrIrI
Source: Alexandria
Functional: PBE-GGA
Structure: relaxed

Cell and atoms, written as POSCAR:
```
AcPrIrI
1.0
4.324 -0.001 0.000
-2.162 3.745 0.000
-2.162 -1.248 8.450
I Pr Ac Ir
1 1 1 1
Cartesian
2.571 0.975 2.939
-1.754 3.472 0.457
0.409 -0.275 5.826
-1.753 0.974 7.421
```

Properties
E_form (uncorrected): -1.000 eV per atom
Density of states at the Fermi level: 0.163 states/eV per atom